1.
Material: MoSe2NO
Method: DFT, PBE+U
State: optimized geometry

Unit cell a=4.4323 b=4.4323 c=3.9299 alpha=90.00 beta=90.00 gamma=90.00
Space group P4/mmm (No. 123)
Symmetry-distinct sites (fractional):
Mo 0.0000 0.0000 0.0000 (multiplicity 1)
Se 0.0000 0.5000 0.5000 (multiplicity 2)
N 0.5000 0.5000 0.0000 (multiplicity 1)
O 0.5000 0.5000 0.5000 (multiplicity 1)

Summary:
density of states at the Fermi level	0.328	states/eV per atom
DFT total energy	-4.285	eV per atom

=====

2.
Material: MoSe2NO
Method: DFT, PBE+U
State: optimized geometry

Unit cell a=4.9789 b=4.9789 c=3.8119 alpha=90.00 beta=90.00 gamma=90.00
Space group P4/mmm (No. 123)
Symmetry-distinct sites (fractional):
Mo 0.0000 0.0000 0.0000 (multiplicity 1)
Se 0.0000 0.5000 0.0000 (multiplicity 2)
N 0.0000 0.0000 0.5000 (multiplicity 1)
O 0.5000 0.5000 0.5000 (multiplicity 1)

Summary:
density of states at the Fermi level	1.027	states/eV per atom
DFT total energy	-4.426	eV per atom

=====

3.
Material: SnMoNO2
Method: DFT, PBE+U
State: optimized geometry

Unit cell a=3.9784 b=3.9784 c=4.2838 alpha=90.00 beta=90.00 gamma=90.00
Space group P4/mmm (No. 123)
Symmetry-distinct sites (fractional):
Sn 0.0000 0.0000 0.0000 (multiplicity 1)
Mo 0.5000 0.5000 0.5000 (multiplicity 1)
N 0.0000 0.0000 0.5000 (multiplicity 1)
O 0.0000 0.5000 0.0000 (multiplicity 2)

Summary:
density of states at the Fermi level	0.269	states/eV per atom
DFT total energy	-5.876	eV per atom

=====

4.
Material: SnMoNO2
Method: DFT, PBE+U
State: optimized geometry

Unit cell a=4.0914 b=4.0914 c=3.9816 alpha=90.00 beta=90.00 gamma=90.00
Space group P4/mmm (No. 123)
Symmetry-distinct sites (fractional):
Sn 0.0000 0.0000 0.0000 (multiplicity 1)
Mo 0.5000 0.5000 0.5000 (multiplicity 1)
N 0.5000 0.5000 0.0000 (multiplicity 1)
O 0.0000 0.5000 0.5000 (multiplicity 2)

Summary:
density of states at the Fermi level	0.193	states/eV per atom
DFT total energy	-6.511	eV per atom

=====

5.
Material: SrMoN2O
Method: DFT, PBE+U
State: optimized geometry

Unit cell a=4.7733 b=4.7733 c=4.4502 alpha=90.00 beta=90.00 gamma=90.00
Space group P4/mmm (No. 123)
Symmetry-distinct sites (fractional):
Sr 0.0000 0.0000 0.0000 (multiplicity 1)
Mo 0.5000 0.5000 0.5000 (multiplicity 1)
N 0.0000 0.5000 0.0000 (multiplicity 2)
O 0.0000 0.0000 0.5000 (multiplicity 1)

Summary:
density of states at the Fermi level	0.801	states/eV per atom
DFT total energy	-4.627	eV per atom

=====

6.
Material: SrMoN2O
Method: DFT, PBE+U
State: optimized geometry

Unit cell a=4.0053 b=4.0053 c=4.0702 alpha=90.00 beta=90.00 gamma=90.00
Space group P4/mmm (No. 123)
Symmetry-distinct sites (fractional):
Sr 0.0000 0.0000 0.0000 (multiplicity 1)
Mo 0.5000 0.5000 0.5000 (multiplicity 1)
N 0.0000 0.5000 0.5000 (multiplicity 2)
O 0.5000 0.5000 0.0000 (multiplicity 1)

Summary:
density of states at the Fermi level	0.378	states/eV per atom
DFT total energy	-6.943	eV per atom

=====

7.
Material: TaMoNO2
Method: DFT, PBE+U
State: optimized geometry

Unit cell a=3.9330 b=3.9330 c=4.2313 alpha=90.00 beta=90.00 gamma=90.00
Space group P4/mmm (No. 123)
Symmetry-distinct sites (fractional):
Ta 0.0000 0.0000 0.0000 (multiplicity 1)
Mo 0.5000 0.5000 0.5000 (multiplicity 1)
N 0.0000 0.0000 0.5000 (multiplicity 1)
O 0.0000 0.5000 0.0000 (multiplicity 2)

Summary:
density of states at the Fermi level	0.089	states/eV per atom
DFT total energy	-8.588	eV per atom

=====

8.
Material: TaMoNO2
Method: DFT, PBE+U
State: optimized geometry

Unit cell a=3.9486 b=3.9486 c=4.0610 alpha=90.00 beta=90.00 gamma=90.00
Space group P4/mmm (No. 123)
Symmetry-distinct sites (fractional):
Ta 0.0000 0.0000 0.0000 (multiplicity 1)
Mo 0.5000 0.5000 0.5000 (multiplicity 1)
N 0.5000 0.5000 0.0000 (multiplicity 1)
O 0.0000 0.5000 0.5000 (multiplicity 2)

Summary:
density of states at the Fermi level	0.711	states/eV per atom
DFT total energy	-7.443	eV per atom